# 1
First-principles (PBE-GGA) data for a relaxed MnSnSe2 crystal, as listed in Alexandria via LeMat-Bulk.

```
MnSnSe2
1.0
6.322 0.000 0.000
0.000 6.322 0.000
3.161 3.161 5.122
Mn Se Sn
2 4 2
direct
0.500 0.500 0.000
0.250 0.750 0.500
0.375 0.460 0.750
0.875 0.790 0.750
0.210 0.625 0.250
0.540 0.125 0.250
0.750 0.250 0.500
0.000 0.000 0.000
```

Summary:
* symmetry: No. 122
* ρ: 5.38 g/cm³
* E_tot: -5.017 eV/atom

***

# 2
First-principles (PBE-GGA) data for a relaxed MnSnSe2 crystal, as listed in Alexandria via LeMat-Bulk.

```
MnSnSe2
1.0
-1.406 -0.850 -3.898
-5.660 -3.292 2.759
-7.682 13.133 -0.093
Mn Sn Se
4 4 8
direct
0.750 0.880 0.940
0.750 0.620 0.440
0.250 0.380 0.560
0.250 0.120 0.060
0.750 0.994 0.644
0.750 0.506 0.144
0.250 0.494 0.856
0.250 0.006 0.356
0.750 0.266 0.475
0.250 0.734 0.525
0.750 0.774 0.292
0.250 0.766 0.025
0.250 0.274 0.208
0.750 0.234 0.975
0.750 0.726 0.792
0.250 0.226 0.708
```

Summary:
* symmetry: No. 62
* ρ: 4.82 g/cm³
* E_tot: -5.392 eV/atom

***

# 3
First-principles (PBE-GGA) data for a relaxed MnSn3Se4 crystal, as listed in Alexandria via LeMat-Bulk.

```
MnSn3Se4
1.0
4.169 0.000 0.000
0.000 6.847 -2.327
0.000 -0.049 7.231
Sn Mn Se
3 1 4
direct
0.000 0.500 0.000
0.500 0.500 0.500
0.000 0.000 0.500
0.500 0.000 0.000
0.500 0.764 0.236
0.000 0.773 0.773
0.000 0.227 0.227
0.500 0.236 0.764
```

Summary:
* symmetry: No. 65
* ρ: 5.86 g/cm³
* E_tot: -4.775 eV/atom

***

# 4
First-principles (PBE-GGA) data for a relaxed MnSnSe2 crystal, as listed in Alexandria via LeMat-Bulk.

```
MnSnSe2
1.0
3.918 -0.001 0.002
1.958 3.393 0.002
1.958 1.131 7.075
Mn Se Sn
1 2 1
direct
0.668 0.668 0.995
0.069 0.069 0.793
0.262 0.262 0.213
0.501 0.501 0.498
```

Summary:
* symmetry: No. 160
* ρ: 5.85 g/cm³
* E_tot: -5.373 eV/atom